Here is crystalline Pm2SeCl at its relaxed geometry from the Alexandria database. Energies are from PBE.

Cell lengths 3.9184, 3.9184, 23.1658 Å; angles 90.00, 90.00, 120.00 degrees
Space group R3m (No. 160, hexagonal axes)
Symmetry-distinct sites (fractional):
Pm 0.0000 0.0000 0.0000 [3 per cell]
Pm 0.0000 0.0000 0.1786 [3 per cell]
Se 0.0000 0.0000 0.5883 [3 per cell]
Cl 0.0000 0.0000 0.4227 [3 per cell]

**Energy relative to the elements, uncorrected**: -1524 meV/atom
**Total moment**: 0.0 Bohr magnetons per cell
**E_tot**: -62.78 eV/cell